The following is a GGA+U calculation of TiTl2NiO6 after structural relaxation, from Alexandria via LeMat-Bulk.

For the raw total energy, the calculation gives -5.8829 eV/atom. The calculation puts the volume at 12.0 A^3/atom.

The structure belongs to space group C2 (No. 5); the cell edges are 9.6243, 5.5910 and 5.3676 Å and the angles 90.00°, 123.81° and 90.00°. Symmetry generates all atoms from Ti at (0.0000, 0.0000, 0.0000), Tl at (0.2472, 0.4883, 0.2221), Ni at (0.0000, 0.5062, 0.5000), O at (0.0633, 0.7601, 0.8239), O at (0.0745, 0.2540, 0.8248) and O at (0.2355, 0.0354, 0.3671).